Record 1
# LaAlZn2Ir | Alexandria via LeMat-Bulk | GGA-PBE | optimized geometry
# Total moment, μB/atom: 0.0000
# Energy of formation, eV per atom: -0.52
data_LaAlZn2Ir
_chemical_formula_sum 'La1 Al1 Zn2 Ir1'
_space_group_name_H-M_alt 'P 1'
_space_group_IT_number 1
_space_group_name_Hall 'P 1'
_cell_length_a 6.406
_cell_length_b 6.406
_cell_length_c 6.406
_cell_angle_alpha 143.08
_cell_angle_beta 141.14
_cell_angle_gamma 54.68
loop_
_atom_site_label
_atom_site_type_symbol
_atom_site_fract_x
_atom_site_fract_y
_atom_site_fract_z
La1 La 0.000 0.000 0.000
Al1 Al 0.260 0.760 0.500
Zn1 Zn 0.616 0.616 0.000
Zn2 Zn 0.758 0.258 0.500
Ir1 Ir 0.391 0.391 0.000

=====

Record 2
# ErPuHf | Alexandria via LeMat-Bulk | GGA-PBE | optimized geometry
# Total moment, μB/atom: 1.9263
# Energy of formation, eV per atom: 0.15
data_ErPuHf
_chemical_formula_sum 'Er1 Pu1 Hf1'
_space_group_name_H-M_alt 'P 1'
_space_group_IT_number 1
_space_group_name_Hall 'P 1'
_cell_length_a 7.509
_cell_length_b 7.509
_cell_length_c 7.509
_cell_angle_alpha 154.61
_cell_angle_beta 154.61
_cell_angle_gamma 36.21
loop_
_atom_site_label
_atom_site_type_symbol
_atom_site_fract_x
_atom_site_fract_y
_atom_site_fract_z
Er1 Er 0.000 0.000 0.000
Pu1 Pu 0.319 0.319 0.000
Hf1 Hf 0.665 0.665 0.000